Entry 1:
DFT (PBE-GGA) results for Ta2IrRu after structural relaxation.

Cell lengths 9.519, 2.892, 4.798 Å; angles 90.00, 99.56, 90.00 degrees
Atoms (fractional coordinates):
Ta 0.000 0.000 0.000
Ta 0.225 0.000 0.668
Ta 0.500 0.500 0.000
Ta 0.725 0.500 0.668
Ir 0.479 0.000 0.489
Ir 0.979 0.500 0.489
Ru 0.248 0.500 0.177
Ru 0.748 0.000 0.177

Calculated values
DFT formation energy = -0.3299 eV per atom
density = 16.7 g cm⁻³
size of the total moment = 0.00 μB/f.u.
E_tot = -10.79 eV/atom

Entry 2:
DFT (PBE-GGA) results for Ir3Cl after structural relaxation.

Cell lengths 8.597, 8.514, 3.720 Å; angles 90.00, 90.00, 90.00 degrees
Atoms (fractional coordinates):
Ir 0.000 0.108 0.250
Ir 0.000 0.892 0.750
Ir 0.216 0.121 0.750
Ir 0.216 0.879 0.250
Ir 0.284 0.379 0.250
Ir 0.284 0.621 0.750
Ir 0.500 0.392 0.750
Ir 0.500 0.608 0.250
Ir 0.716 0.379 0.250
Ir 0.716 0.621 0.750
Ir 0.784 0.121 0.750
Ir 0.784 0.879 0.250
Cl 0.000 0.375 0.250
Cl 0.000 0.625 0.750
Cl 0.500 0.125 0.750
Cl 0.500 0.875 0.250

Calculated values
density = 14.9 g cm⁻³
E_form (uncorrected) = 0.630 eV per atom
offset from the most stable computed form = 0.161 eV per atom
size of the total moment = 0.00 μB/f.u.
E_tot = -6.48 eV/atom

Entry 3:
DFT (PBE-GGA) results for NpTl2F7 after structural relaxation.

Cell lengths 8.076, 8.076, 9.996 Å; angles 124.55, 124.55, 55.17 degrees
Atoms (fractional coordinates):
Np 0.123 0.877 0.750
Np 0.877 0.123 0.250
Tl 0.226 0.399 0.217
Tl 0.399 0.226 0.717
Tl 0.601 0.774 0.283
Tl 0.774 0.601 0.783
F 0.005 0.235 0.854
F 0.042 0.637 0.710
F 0.057 0.779 0.488
F 0.221 0.943 0.012
F 0.235 0.005 0.354
F 0.363 0.958 0.790
F 0.414 0.586 0.750
F 0.586 0.414 0.250
F 0.637 0.042 0.210
F 0.765 0.995 0.646
F 0.779 0.057 0.988
F 0.943 0.221 0.512
F 0.958 0.363 0.290
F 0.995 0.765 0.146

Calculated values
density = 6.3 g cm⁻³
E_form (uncorrected) = -2.744 eV per atom
offset from the most stable computed form = 0.000 eV per atom
size of the total moment = 2.00 μB/f.u.
E_tot = -5.82 eV/atom

Entry 4:
DFT (PBE-GGA) results for Cs2SrSe after structural relaxation.

Cell lengths 9.456, 9.456, 9.456 Å; angles 90.00, 90.00, 90.00 degrees
Atoms (fractional coordinates):
Cs 0.250 0.250 0.250
Cs 0.250 0.250 0.750
Cs 0.250 0.750 0.250
Cs 0.250 0.750 0.750
Cs 0.750 0.250 0.250
Cs 0.750 0.250 0.750
Cs 0.750 0.750 0.250
Cs 0.750 0.750 0.750
Sr 0.000 0.000 0.000
Sr 0.000 0.500 0.500
Sr 0.500 0.000 0.500
Sr 0.500 0.500 0.000
Se 0.000 0.000 0.500
Se 0.000 0.500 0.000
Se 0.500 0.000 0.000
Se 0.500 0.500 0.500

Calculated values
density = 3.4 g cm⁻³
E_form (uncorrected) = -0.254 eV per atom
offset from the most stable computed form = 0.218 eV per atom
size of the total moment = 0.00 μB/f.u.
E_tot = -1.97 eV/atom

Entry 5:
DFT (PBE-GGA) results for La2Pm5Sm5 after structural relaxation.

Cell lengths 8.202, 8.202, 11.562 Å; angles 115.17, 115.17, 36.80 degrees
Atoms (fractional coordinates):
La 0.166 0.166 0.000
La 0.834 0.834 0.000
Pm 0.333 0.333 0.499
Pm 0.418 0.418 0.253
Pm 0.500 0.500 0.000
Pm 0.582 0.582 0.747
Pm 0.667 0.667 0.501
Sm 0.000 0.000 0.500
Sm 0.084 0.084 0.253
Sm 0.250 0.250 0.747
Sm 0.750 0.750 0.253
Sm 0.916 0.916 0.747

Calculated values
DFT formation energy = 0.0172 eV per atom
density = 7.0 g cm⁻³
size of the total moment = 0.00 μB/f.u.
E_tot = -4.75 eV/atom